## Co3Si2H4O9 (GGA+U)

Data for a geometry-optimized Co3Si2H4O9 structure.

Its crystal system is trigonal. The total energy comes out at -113.56 eV per cell.

The structure belongs to space group P31m (No. 157); the cell edges are 5.2872, 5.2872 and 7.1667 Å and the angles 90.00°, 90.00° and 120.00°. The distinct sites, in fractional coordinates, are Co at (0.0000, 0.3327, 0.0000), Si at (0.3333, 0.6667, 0.6103), H at (0.0000, 0.0000, 0.7074), H at (0.0000, 0.6525, 0.2783), O at (0.0000, 0.0000, 0.8427), O at (0.0000, 0.5245, 0.5234), O at (0.0000, 0.6626, 0.1426) and O at (0.3333, 0.6667, 0.8329).